Density functional theory data (GGA-PBE) for a relaxed LiAl2As crystal.

Total DFT energy (no corrections)   -29.65 eV per cell
D(E_F)   0.00 states/eV per cell
Space-group type   I-42d (122)
DFT formation energy   -18.7 kJ per mole of atoms
Density   2.79 g/cm3

a b c (Å): 8.0892 8.0892 6.2297
angles (deg): 49.52 49.52 90.00
Positions (direct):
1 Al 0.3750 0.3083 0.7500
2 Al 0.8750 0.9417 0.7500
3 Al 0.0583 0.6250 0.2500
4 Al 0.6917 0.1250 0.2500
5 As 0.0000 0.0000 0.0000
6 As 0.7500 0.2500 0.5000
7 Li 0.5000 0.5000 0.0000
8 Li 0.2500 0.7500 0.5000